Density functional theory data (PBE) for a geometry-optimized AcTbYAl structure.

Cell and atoms, written as CIF:
```
data_AcTbYAl
_chemical_formula_sum 'Ac4 Tb4 Y4 Al4'
_cell_length_a 7.817
_cell_length_b 7.817
_cell_length_c 7.817
_cell_angle_alpha 90.00
_cell_angle_beta 90.00
_cell_angle_gamma 90.00
_symmetry_space_group_name_H-M 'F -4 3 m'
_symmetry_Int_Tables_number 216
_symmetry_space_group_name_Hall 'F -4 2 3'
loop_
_atom_site_label
_atom_site_fract_x
_atom_site_fract_y
_atom_site_fract_z
Ac1 0.000 0.000 0.000
Tb1 0.250 0.250 0.750
Y1 0.250 0.250 0.250
Al1 0.000 0.000 0.500
```

* magnetic moment: 0.0 μB/cell
* DOS(E_F): 1.936 states/eV/atom
* formation energy: 0.07 eV per atom
* mass density: 6.98 Mg/m³